No. 1
Below is a geometry-optimized BAsBr2 structure, with properties calculated at the PBE level.

**Space-group type**: Fm-3m, No. 225
**E above lowest polymorph**: 532.8 meV per atom

a = 4.8826 Å, b = 4.8826 Å, c = 4.8826 Å
α = 60.00°, β = 60.00°, γ = 60.00°
Last column: nearest neighbours and their distance in Å.
Fractional coordinates of all 4 atoms:
As (0.5000, 0.5000, 0.5000)  8 Br 2.99
Br (0.2500, 0.2500, 0.2500)  4 As 2.99, 4 B 2.99
Br (0.7500, 0.7500, 0.7500)  4 As 2.99, 4 B 2.99
B (0.0000, 0.0000, 0.0000)  8 Br 2.99


No. 2
Below is a geometry-optimized BAs2Br structure, with properties calculated at the PBE level.

**Space-group type**: I-42d, No. 122
**E above lowest polymorph**: 0.0 meV per atom

a = 6.1535 Å, b = 6.1535 Å, c = 6.2356 Å
α = 60.43°, β = 60.43°, γ = 90.00°
Last column: nearest neighbours and their distance in Å.
Fractional coordinates of all 8 atoms:
As (0.8750, 0.7704, 0.7500)  2 B 2.10
As (0.3750, 0.4796, 0.7500)  2 B 2.10
As (0.2296, 0.6250, 0.2500)  2 B 2.10
As (0.5204, 0.1250, 0.2500)  2 B 2.10
B (0.2500, 0.7500, 0.5000)  4 As 2.10
B (0.5000, 0.5000, 0.0000)  4 As 2.10
Br (0.7500, 0.2500, 0.5000)  4 As 2.89
Br (0.0000, 0.0000, 0.0000)  4 As 2.89


No. 3
Below is a geometry-optimized BAs2Br structure, with properties calculated at the PBE level.

**Space-group type**: Fm-3m, No. 225
**E above lowest polymorph**: 846.5 meV per atom

a = 4.6473 Å, b = 4.6473 Å, c = 4.6473 Å
α = 60.00°, β = 60.00°, γ = 60.00°
Last column: nearest neighbours and their distance in Å.
Fractional coordinates of all 4 atoms:
B (0.0000, 0.0000, 0.0000)  8 As 2.85
As (0.2500, 0.2500, 0.2500)  4 Br 2.85, 4 B 2.85
As (0.7500, 0.7500, 0.7500)  4 Br 2.85, 4 B 2.85
Br (0.5000, 0.5000, 0.5000)  8 As 2.85


No. 4
Below is a geometry-optimized B2AsBr structure, with properties calculated at the PBE level.

**Space-group type**: Fm-3m, No. 225
**E above lowest polymorph**: 890.9 meV per atom

a = 4.3506 Å, b = 4.3506 Å, c = 4.3506 Å
α = 60.00°, β = 60.00°, γ = 60.00°
Last column: nearest neighbours and their distance in Å.
Fractional coordinates of all 4 atoms:
B (0.2500, 0.2500, 0.2500)  4 Br 2.66, 4 As 2.66
B (0.7500, 0.7500, 0.7500)  4 Br 2.66, 4 As 2.66
As (0.0000, 0.0000, 0.0000)  8 B 2.66
Br (0.5000, 0.5000, 0.5000)  8 B 2.66


No. 5
Below is a geometry-optimized B2AsBr structure, with properties calculated at the PBE level.

**Space-group type**: I-42d, No. 122
**E above lowest polymorph**: 0.0 meV per atom

a = 5.5103 Å, b = 5.5103 Å, c = 5.8293 Å
α = 61.79°, β = 61.79°, γ = 90.00°
Last column: nearest neighbours and their distance in Å.
Fractional coordinates of all 8 atoms:
B (0.1866, 0.6250, 0.2500)  2 As 2.04
B (0.3750, 0.4366, 0.7500)  2 As 2.04
B (0.5634, 0.1250, 0.2500)  2 As 2.04
B (0.8750, 0.8134, 0.7500)  2 As 2.04
As (0.5000, 0.5000, 0.0000)  4 B 2.04
As (0.2500, 0.7500, 0.5000)  4 B 2.04
Br (0.7500, 0.2500, 0.5000)  4 B 2.45
Br (0.0000, 0.0000, 0.0000)  4 B 2.45


No. 6
Below is a geometry-optimized CdBAsBr2 structure, with properties calculated at the PBE level.

**Space-group type**: P4/mmm, No. 123
**E above lowest polymorph**: 0.0 meV per atom

a = 4.7043 Å, b = 4.7043 Å, c = 4.7576 Å
α = 90.00°, β = 90.00°, γ = 90.00°
Last column: nearest neighbours and their distance in Å.
Fractional coordinates of all 5 atoms:
Cd (0.5000, 0.5000, 0.5000)  4 As 3.33, 8 Br 3.35
As (0.0000, 0.0000, 0.5000)  2 B 2.38
B (0.0000, 0.0000, 0.0000)  4 Br 2.35, 2 As 2.38
Br (0.0000, 0.5000, 0.0000)  2 B 2.35
Br (0.5000, 0.0000, 0.0000)  2 B 2.35


No. 7
Below is a geometry-optimized CdBAsBr2 structure, with properties calculated at the PBE level.

**Space-group type**: P4/mmm, No. 123
**E above lowest polymorph**: 540.7 meV per atom

a = 5.5251 Å, b = 5.5251 Å, c = 5.3210 Å
α = 90.00°, β = 90.00°, γ = 90.00°
Last column: nearest neighbours and their distance in Å.
Fractional coordinates of all 5 atoms:
B (0.5000, 0.5000, 0.5000)  8 Br 3.84, 4 As 3.91
Br (0.0000, 0.5000, 0.0000)  2 Cd 2.76
Br (0.5000, 0.0000, 0.0000)  2 Cd 2.76
As (0.0000, 0.0000, 0.5000)  2 Cd 2.66
Cd (0.0000, 0.0000, 0.0000)  2 As 2.66, 4 Br 2.76


No. 8
Below is a geometry-optimized CdBAs2Br structure, with properties calculated at the PBE level.

**Space-group type**: P4/mmm, No. 123
**E above lowest polymorph**: 0.0 meV per atom

a = 4.1844 Å, b = 4.1844 Å, c = 7.5164 Å
α = 90.00°, β = 90.00°, γ = 90.00°
Last column: nearest neighbours and their distance in Å.
Fractional coordinates of all 5 atoms:
Br (0.0000, 0.0000, 0.5000)  4 Cd 2.96
As (0.0000, 0.5000, 0.0000)  2 B 2.09
As (0.5000, 0.0000, 0.0000)  2 B 2.09
B (0.0000, 0.0000, 0.0000)  4 As 2.09
Cd (0.5000, 0.5000, 0.5000)  4 Br 2.96


No. 9
Below is a geometry-optimized CdBAs2Br structure, with properties calculated at the PBE level.

**Space-group type**: P4/mmm, No. 123
**E above lowest polymorph**: 912.4 meV per atom

a = 5.1578 Å, b = 5.1578 Å, c = 5.6813 Å
α = 90.00°, β = 90.00°, γ = 90.00°
Last column: nearest neighbours and their distance in Å.
Fractional coordinates of all 5 atoms:
Cd (0.0000, 0.0000, 0.0000)  4 As 2.58, 2 Br 2.84
B (0.5000, 0.5000, 0.5000)  4 Br 3.65, 8 As 3.84
As (0.5000, 0.0000, 0.0000)  2 Cd 2.58
As (0.0000, 0.5000, 0.0000)  2 Cd 2.58
Br (0.0000, 0.0000, 0.5000)  2 Cd 2.84


No. 10
Below is a geometry-optimized BAs2BrCl structure, with properties calculated at the PBE level.

**Space-group type**: P4/mmm, No. 123
**E above lowest polymorph**: 0.0 meV per atom

a = 4.5465 Å, b = 4.5465 Å, c = 4.6853 Å
α = 90.00°, β = 90.00°, γ = 90.00°
Last column: nearest neighbours and their distance in Å.
Fractional coordinates of all 5 atoms:
B (0.0000, 0.0000, 0.0000)  4 As 2.27, 2 Br 2.34
As (0.5000, 0.0000, 0.0000)  2 B 2.27
As (0.0000, 0.5000, 0.0000)  2 B 2.27
Cl (0.5000, 0.5000, 0.5000)  4 Br 3.21, 8 As 3.26
Br (0.0000, 0.0000, 0.5000)  2 B 2.34


No. 11
Below is a geometry-optimized BAs2BrCl structure, with properties calculated at the PBE level.

**Space-group type**: P4/mmm, No. 123
**E above lowest polymorph**: 907.5 meV per atom

a = 4.7108 Å, b = 4.7108 Å, c = 6.8555 Å
α = 90.00°, β = 90.00°, γ = 90.00°
Last column: nearest neighbours and their distance in Å.
Fractional coordinates of all 5 atoms:
As (0.5000, 0.0000, 0.0000)  2 Cl 2.36
As (0.0000, 0.5000, 0.0000)  2 Cl 2.36
Cl (0.0000, 0.0000, 0.0000)  4 As 2.36
Br (0.0000, 0.0000, 0.5000)  4 B 3.33, 2 Cl 3.43
B (0.5000, 0.5000, 0.5000)  4 Br 3.33


No. 12
Below is a geometry-optimized BAsBr2Cl structure, with properties calculated at the PBE level.

**Space-group type**: P4/mmm, No. 123
**E above lowest polymorph**: 0.0 meV per atom

a = 4.5862 Å, b = 4.5862 Å, c = 4.8392 Å
α = 90.00°, β = 90.00°, γ = 90.00°
Last column: nearest neighbours and their distance in Å.
Fractional coordinates of all 5 atoms:
As (0.0000, 0.0000, 0.5000)  2 B 2.42
Cl (0.5000, 0.5000, 0.5000)  4 As 3.24, 8 Br 3.33
Br (0.0000, 0.5000, 0.0000)  2 B 2.29
Br (0.5000, 0.0000, 0.0000)  2 B 2.29
B (0.0000, 0.0000, 0.0000)  4 Br 2.29, 2 As 2.42


No. 13
Below is a geometry-optimized CrBAs2Br structure, with properties calculated at the PBE level.

**Space-group type**: P4/mmm, No. 123
**E above lowest polymorph**: 0.0 meV per atom

a = 4.0886 Å, b = 4.0886 Å, c = 6.9649 Å
α = 90.00°, β = 90.00°, γ = 90.00°
Last column: nearest neighbours and their distance in Å.
Fractional coordinates of all 5 atoms:
B (0.0000, 0.0000, 0.0000)  4 As 2.04
Br (0.0000, 0.0000, 0.5000)  4 Cr 2.89
As (0.0000, 0.5000, 0.0000)  2 B 2.04
As (0.5000, 0.0000, 0.0000)  2 B 2.04
Cr (0.5000, 0.5000, 0.5000)  4 Br 2.89


No. 14
Below is a geometry-optimized CrBAs2Br structure, with properties calculated at the PBE level.

**Space-group type**: P4/mmm, No. 123
**E above lowest polymorph**: 265.9 meV per atom

a = 4.5836 Å, b = 4.5836 Å, c = 5.4137 Å
α = 90.00°, β = 90.00°, γ = 90.00°
Last column: nearest neighbours and their distance in Å.
Fractional coordinates of all 5 atoms:
Cr (0.0000, 0.0000, 0.0000)  4 As 2.29
Br (0.0000, 0.0000, 0.5000)  2 Cr 2.71
As (0.5000, 0.0000, 0.0000)  2 Cr 2.29
As (0.0000, 0.5000, 0.0000)  2 Cr 2.29
B (0.5000, 0.5000, 0.5000)  4 Br 3.24, 8 As 3.55


No. 15
Below is a geometry-optimized Cs2BAsBr6 structure, with properties calculated at the PBE level.

**Space-group type**: I4/mmm, No. 139

a = 7.6423 Å, b = 7.6423 Å, c = 7.5926 Å
α = 59.78°, β = 59.78°, γ = 90.00°
Last column: nearest neighbours and their distance in Å.
Fractional coordinates of all 10 atoms:
Br (0.7441, 0.7441, 0.5118)  1 B 2.60, 1 As 2.73
Br (0.2507, 0.2507, 0.0000)  1 B 2.69, 1 As 2.71
Br (0.7493, 0.2507, 0.0000)  1 B 2.69, 1 As 2.71
Br (0.7493, 0.7493, 0.0000)  1 B 2.69, 1 As 2.71
Br (0.2507, 0.7493, 0.0000)  1 B 2.69, 1 As 2.71
Br (0.2559, 0.2559, 0.4882)  1 B 2.60, 1 As 2.73
Cs (0.2500, 0.7500, 0.5000)  12 Br 3.80-3.82
Cs (0.7500, 0.2500, 0.5000)  12 Br 3.80-3.82
B (0.5000, 0.5000, 0.0000)  6 Br 2.60-2.69
As (0.0000, 0.0000, 0.0000)  6 Br 2.71-2.73


No. 16
Below is a geometry-optimized CsBAsBr2 structure, with properties calculated at the PBE level.

**Space-group type**: P4/mmm, No. 123

a = 5.8375 Å, b = 5.8375 Å, c = 4.1403 Å
α = 90.00°, β = 90.00°, γ = 90.00°
Last column: nearest neighbours and their distance in Å.
Fractional coordinates of all 5 atoms:
As (0.0000, 0.0000, 0.5000)  2 B 2.07
Br (0.5000, 0.0000, 0.0000)  2 B 2.92
Br (0.0000, 0.5000, 0.0000)  2 B 2.92
B (0.0000, 0.0000, 0.0000)  2 As 2.07
Cs (0.5000, 0.5000, 0.5000)  8 Br 3.58


No. 17
Below is a geometry-optimized FeBAs2Br structure, with properties calculated at the PBE level.

**Space-group type**: P4/mmm, No. 123
**E above lowest polymorph**: 0.0 meV per atom

a = 4.3535 Å, b = 4.3535 Å, c = 4.7454 Å
α = 90.00°, β = 90.00°, γ = 90.00°
Last column: nearest neighbours and their distance in Å.
Fractional coordinates of all 5 atoms:
Fe (0.5000, 0.5000, 0.5000)  4 Br 3.08, 8 As 3.22
As (0.0000, 0.5000, 0.0000)  2 B 2.18
As (0.5000, 0.0000, 0.0000)  2 B 2.18
B (0.0000, 0.0000, 0.0000)  4 As 2.18, 2 Br 2.37
Br (0.0000, 0.0000, 0.5000)  2 B 2.37


No. 18
Below is a geometry-optimized FeBAs2Br structure, with properties calculated at the PBE level.

**Space-group type**: P4/mmm, No. 123
**E above lowest polymorph**: 65.1 meV per atom

a = 4.4207 Å, b = 4.4207 Å, c = 5.3980 Å
α = 90.00°, β = 90.00°, γ = 90.00°
Last column: nearest neighbours and their distance in Å.
Fractional coordinates of all 5 atoms:
As (0.0000, 0.5000, 0.0000)  2 Fe 2.21
As (0.5000, 0.0000, 0.0000)  2 Fe 2.21
Fe (0.0000, 0.0000, 0.0000)  4 As 2.21
B (0.5000, 0.5000, 0.5000)  4 Br 3.13, 8 As 3.49
Br (0.0000, 0.0000, 0.5000)  2 Fe 2.70


No. 19
Below is a geometry-optimized FeBAsBr2 structure, with properties calculated at the PBE level.

**Space-group type**: P4/mmm, No. 123
**E above lowest polymorph**: 42.7 meV per atom

a = 5.1385 Å, b = 5.1385 Å, c = 4.5271 Å
α = 90.00°, β = 90.00°, γ = 90.00°
Last column: nearest neighbours and their distance in Å.
Fractional coordinates of all 5 atoms:
B (0.5000, 0.5000, 0.5000)  8 Br 3.42, 4 As 3.63
Br (0.5000, 0.0000, 0.0000)  2 Fe 2.57
Br (0.0000, 0.5000, 0.0000)  2 Fe 2.57
Fe (0.0000, 0.0000, 0.0000)  2 As 2.26
As (0.0000, 0.0000, 0.5000)  2 Fe 2.26


No. 20
Below is a geometry-optimized FeBAsBr2 structure, with properties calculated at the PBE level.

**Space-group type**: P4/mmm, No. 123
**E above lowest polymorph**: 0.0 meV per atom

a = 4.5927 Å, b = 4.5927 Å, c = 4.6150 Å
α = 90.00°, β = 90.00°, γ = 90.00°
Last column: nearest neighbours and their distance in Å.
Fractional coordinates of all 5 atoms:
Fe (0.5000, 0.5000, 0.5000)  4 As 3.25, 8 Br 3.26
As (0.0000, 0.0000, 0.5000)  2 B 2.31
Br (0.5000, 0.0000, 0.0000)  2 B 2.30
Br (0.0000, 0.5000, 0.0000)  2 B 2.30
B (0.0000, 0.0000, 0.0000)  4 Br 2.30, 2 As 2.31


What are the formation energy without anion corrections values for these records? In order: 126.9 47.3 129.0 186.5 100.5 57.2 109.4 61.2 149.2 73.9 161.5 65.9 82.3 107.9 -60.1 4.4 104.8 111.0 106.5 102.4 kJ per mole of atoms.
What are the magnetic moment values for these records? In order: 0.00 0.00 0.00 0.00 0.00 0.00 1.82 0.01 1.40 0.00 0.00 0.00 4.58 1.56 0.00 0.88 2.71 0.00 2.37 3.81 μB/cell.